VASP calculation (PBE) on crystalline Nb3SnRu at its relaxed geometry.

a = 4.8221 Å, b = 4.8221 Å, c = 4.8221 Å
α = 90.00°, β = 90.00°, γ = 90.00°
Element x y z (fractional)
Ru1 0.0000 0.0000 0.0000
Nb1 0.0000 0.5000 0.0000
Nb2 0.0000 0.0000 0.5000
Nb3 0.5000 0.0000 0.0000
Sn1 0.5000 0.5000 0.5000

## Properties
- E above lowest polymorph: 3.06 eV/f.u.
- Energy of formation from the pure elements: 749 meV/atom
- Space group: Pm-3m